{"formula": "LiErInHg", "functional": "GGA-PBE", "state": "optimized geometry", "lattice": [[-3.518, 3.607, -0.099], [-2.770, 0.704, -4.150], [-4.884, -1.243, -0.010]], "species": ["In", "Li", "Er", "Hg"], "frac_coords": [[0.750, 0.750, 0.750], [0.000, 0.000, 0.000], [0.500, 0.500, 0.500], [0.250, 0.250, 0.250]], "dos_at_fermi_per_ev_fu": 2.1, "formation_enthalpy_0k_ev_per_atom": -0.406}

---

{"formula": "HfAsP", "functional": "GGA-PBE", "state": "optimized geometry", "lattice": [[3.626, 0.000, 0.000], [0.000, 3.626, 0.000], [0.000, 0.000, 8.023]], "species": ["Hf", "Hf", "P", "P", "As", "As"], "frac_coords": [[0.500, 0.000, 0.255], [0.000, 0.500, 0.745], [0.000, 0.000, 0.000], [0.500, 0.500, 0.000], [0.500, 0.000, 0.615], [0.000, 0.500, 0.385]], "dos_at_fermi_per_ev_fu": 1.0, "formation_enthalpy_0k_ev_per_atom": -0.830}

---

{"formula": "Pa4AsRhSe2", "functional": "GGA-PBE", "state": "optimized geometry", "lattice": [[-1.401, -1.634, 3.279], [6.050, -3.670, 0.757], [4.559, 3.972, 3.928]], "species": ["Se", "Se", "Pa", "Pa", "Pa", "Pa", "As", "Rh"], "frac_coords": [[0.000, 0.000, 0.000], [0.500, 0.000, 0.500], [0.000, 0.267, 0.235], [0.500, 0.745, 0.247], [0.500, 0.255, 0.753], [0.000, 0.733, 0.765], [0.000, 0.500, 0.500], [0.500, 0.500, 0.000]], "dos_at_fermi_per_ev_fu": 13.6, "e_form_raw_ev_per_atom": -0.998}

---

no.,VASP energy (eV per atom)
1,-2.7854
2,-7.5007
3,-8.1176